[1]
Density functional theory data (GGA-PBE) for Ti5ZnNi8 after structural relaxation.

## Properties
N(E_F) in states/eV per atom: 1.0367
Total moment in μB/f.u.: 0.0
Formation enthalpy at 0 K in meV/atom: -180
Calculated volume in Å³/cell: 191.5
Crystal system: tetragonal

Lattice parameters (Å, degrees): 6.2887 6.2887 6.2887 109.66 109.66 109.10
With the nearest neighbours (Å) after each atom.
Fractional coordinates of all 14 atoms:
Ti (0.0000, 0.0000, 0.0000)  8 Ni 2.36-2.63
Ti (0.2670, 0.6271, 0.0755)  8 Ni 2.42-2.67
Ti (0.3729, 0.4484, 0.6400)  8 Ni 2.42-2.67
Ti (0.5516, 0.1916, 0.9245)  8 Ni 2.42-2.67
Ti (0.8084, 0.7330, 0.3600)  8 Ni 2.42-2.67
Zn (0.7500, 0.2500, 0.5000)  8 Ni 2.61-2.84
Ni (0.0314, 0.4425, 0.2738)  5 Ti 2.49-2.67, 3 Ni 2.49-2.66
Ni (0.1098, 0.1622, 0.7422)  5 Ti 2.36-2.55, 1 Ni 2.58, 1 Zn 2.61
Ni (0.1687, 0.7576, 0.7262)  5 Ti 2.49-2.67, 3 Ni 2.49-2.66
Ni (0.2424, 0.9686, 0.4111)  5 Ti 2.49-2.67, 3 Ni 2.49-2.66
Ni (0.4201, 0.3677, 0.2578)  5 Ti 2.36-2.55, 1 Ni 2.58, 1 Zn 2.61
Ni (0.5575, 0.8313, 0.5889)  5 Ti 2.49-2.67, 3 Ni 2.49-2.66
Ni (0.6323, 0.8902, 0.0524)  5 Ti 2.36-2.55, 1 Ni 2.58, 1 Zn 2.61
Ni (0.8378, 0.5799, 0.9476)  5 Ti 2.36-2.55, 1 Ni 2.58, 1 Zn 2.61



[2]
Density functional theory data (GGA-PBE) for KRb5Tl4 after structural relaxation.

## Properties
N(E_F) in states/eV per atom: 0.5883
Total moment in μB/f.u.: 0.0
Formation enthalpy at 0 K in meV/atom: -36
Calculated volume in Å³/cell: 597.5
Crystal system: monoclinic

Lattice parameters (Å, degrees): 11.9754 11.9754 10.0000 107.56 107.56 25.99
With the nearest neighbours (Å) after each atom.
Fractional coordinates of all 10 atoms:
K (0.0000, 0.0000, 0.0000)  6 Tl 3.60-3.79
Rb (0.0000, 0.0000, 0.5000)  6 Tl 3.94-4.02
Rb (0.3029, 0.3029, 0.3960)  4 Tl 3.83-3.94
Rb (0.3411, 0.3411, 0.9584)  3 Tl 3.77-4.08
Rb (0.6589, 0.6589, 0.0416)  3 Tl 3.77-4.08
Rb (0.6971, 0.6971, 0.6040)  4 Tl 3.83-3.94
Tl (0.1268, 0.1268, 0.3161)  2 Tl 3.09
Tl (0.4409, 0.4409, 0.7252)  2 Tl 3.09
Tl (0.5591, 0.5591, 0.2748)  2 Tl 3.09
Tl (0.8732, 0.8732, 0.6839)  2 Tl 3.09



[3]
Density functional theory data (GGA-PBE) for Cu2AgCl after structural relaxation.

## Properties
N(E_F) in states/eV per atom: 0.4202
Total moment in μB/f.u.: 0.0
Formation energy without anion corrections in meV per atom: 99.9
Excess energy over the best structure of this formula in the dataset in meV/atom: 115
Calculated volume in Å³/cell: 66.3
Crystal system: trigonal

Lattice parameters (Å, degrees): 7.7815 7.7815 7.7815 23.59 23.59 23.59
With the nearest neighbours (Å) after each atom.
Fractional coordinates of all 4 atoms:
Cu (0.0000, 0.0000, 0.0000)  3 Cl 2.43, 3 Cu 2.49
Cu (0.2589, 0.2589, 0.2589)  3 Cu 2.49, 3 Ag 2.65
Ag (0.5078, 0.5078, 0.5078)  3 Cu 2.65
Cl (0.7369, 0.7369, 0.7369)  3 Cu 2.43



[4]
Density functional theory data (GGA-PBE) for PmU2MnC4 after structural relaxation.

## Properties
N(E_F) in states/eV per atom: 1.1237
Total moment in μB/f.u.: 0.0
Formation enthalpy at 0 K in meV/atom: -95
Calculated volume in Å³/cell: 233.1
Crystal system: orthorhombic

Lattice parameters (Å, degrees): 5.9234 5.9234 11.6249 90.00 90.00 145.15
With the nearest neighbours (Å) after each atom.
Fractional coordinates of all 16 atoms:
Pm (0.1062, 0.8938, 0.7500)  6 C 2.76-2.79, 1 Mn 2.99
Pm (0.8938, 0.1062, 0.2500)  6 C 2.76-2.79, 1 Mn 2.99
U (0.3696, 0.6304, 0.5492)  6 C 2.37-2.43
U (0.3696, 0.6304, 0.9508)  6 C 2.37-2.43
U (0.6304, 0.3696, 0.0492)  6 C 2.37-2.43
U (0.6304, 0.3696, 0.4508)  6 C 2.37-2.43
Mn (0.1580, 0.8420, 0.2500)  4 C 1.86-1.98
Mn (0.8420, 0.1580, 0.7500)  4 C 1.86-1.98
C (0.0000, 0.0000, 0.0000)  4 U 2.38
C (0.0000, 0.0000, 0.5000)  4 U 2.38
C (0.2564, 0.7436, 0.1221)  1 Mn 1.86
C (0.2564, 0.7436, 0.3779)  1 Mn 1.86
C (0.4189, 0.5811, 0.7500)  2 Mn 1.98
C (0.5811, 0.4189, 0.2500)  2 Mn 1.98
C (0.7436, 0.2564, 0.6221)  1 Mn 1.86
C (0.7436, 0.2564, 0.8779)  1 Mn 1.86



[5]
Density functional theory data (GGA-PBE) for PtBr2 after structural relaxation.

## Properties
N(E_F) in states/eV per atom: 1.0436
Total moment in μB/f.u.: 1.8
Formation energy without anion corrections in meV per atom: 512.3
Calculated volume in Å³/cell: 73.3
Crystal system: cubic

Lattice parameters (Å, degrees): 4.6979 4.6979 4.6979 60.00 60.00 60.00
With the nearest neighbours (Å) after each atom.
Fractional coordinates of all 3 atoms:
Pt (0.0000, 0.0000, 0.0000)  8 Br 2.88
Br (0.2500, 0.2500, 0.2500)  4 Pt 2.88
Br (0.7500, 0.7500, 0.7500)  4 Pt 2.88



[6]
Density functional theory data (GGA-PBE) for Ac2HoHg after structural relaxation.

## Properties
N(E_F) in states/eV per atom: 1.3992
Total moment in μB/f.u.: 0.0
Excess energy over the best structure of this formula in the dataset in meV/atom: 139
Formation enthalpy at 0 K in meV/atom: -50
Calculated volume in Å³/cell: 140.1
Crystal system: cubic

Lattice parameters (Å, degrees): 5.8298 5.8298 5.8298 60.00 60.00 60.00
With the nearest neighbours (Å) after each atom.
Fractional coordinates of all 4 atoms:
Ac (0.2500, 0.2500, 0.2500)  4 Hg 3.57, 4 Ho 3.57
Ac (0.7500, 0.7500, 0.7500)  4 Hg 3.57, 4 Ho 3.57
Ho (0.0000, 0.0000, 0.0000)  8 Ac 3.57
Hg (0.5000, 0.5000, 0.5000)  8 Ac 3.57



[7]
Density functional theory data (GGA-PBE) for CaAl3Au2 after structural relaxation.

## Properties
N(E_F) in states/eV per atom: 0.3818
Total moment in μB/f.u.: 0.0
Excess energy over the best structure of this formula in the dataset in meV/atom: 59
Formation enthalpy at 0 K in meV/atom: -507
Calculated volume in Å³/cell: 247.8
Crystal system: monoclinic

Lattice parameters (Å, degrees): 7.9398 7.9398 8.3957 114.21 114.21 31.16
With the nearest neighbours (Å) after each atom.
Fractional coordinates of all 12 atoms:
Ca (0.1410, 0.1410, 0.0890)  5 Al 3.14-3.48, 6 Au 3.18-3.45
Ca (0.8590, 0.8590, 0.9110)  5 Al 3.14-3.48, 6 Au 3.18-3.45
Al (0.0143, 0.0143, 0.3485)  3 Au 2.58-2.68, 1 Al 2.76
Al (0.3234, 0.3234, 0.5508)  4 Au 2.57-2.69
Al (0.3669, 0.3669, 0.2358)  3 Au 2.50-2.57
Al (0.6331, 0.6331, 0.7642)  3 Au 2.50-2.57
Al (0.6766, 0.6766, 0.4492)  4 Au 2.57-2.69
Al (0.9857, 0.9857, 0.6515)  3 Au 2.58-2.68, 1 Al 2.76
Au (0.1786, 0.1786, 0.6457)  6 Al 2.57-2.69
Au (0.4864, 0.4864, 0.8243)  4 Al 2.50-2.58, 1 Au 2.80
Au (0.5136, 0.5136, 0.1757)  4 Al 2.50-2.58, 1 Au 2.80
Au (0.8214, 0.8214, 0.3543)  6 Al 2.57-2.69



[8]
Density functional theory data (GGA-PBE) for Zn2CdF after structural relaxation.

## Properties
N(E_F) in states/eV per atom: 0.2374
Total moment in μB/f.u.: 0.0
Formation energy without anion corrections in meV per atom: -372.0
Excess energy over the best structure of this formula in the dataset in meV/atom: 176
Calculated volume in Å³/cell: 70.2
Crystal system: cubic

Lattice parameters (Å, degrees): 4.6295 4.6295 4.6295 60.00 60.00 60.00
With the nearest neighbours (Å) after each atom.
Fractional coordinates of all 4 atoms:
Zn (0.2500, 0.2500, 0.2500)  4 Cd 2.83, 4 F 2.83
Zn (0.7500, 0.7500, 0.7500)  4 Cd 2.83, 4 F 2.83
Cd (0.0000, 0.0000, 0.0000)  8 Zn 2.83
F (0.5000, 0.5000, 0.5000)  8 Zn 2.83



[9]
Density functional theory data (GGA-PBE) for Sr3CdRh8 after structural relaxation.

## Properties
N(E_F) in states/eV per atom: 1.3060
Total moment in μB/f.u.: 0.0
Formation enthalpy at 0 K in meV/atom: -187
Calculated volume in Å³/cell: 225.6
Crystal system: trigonal

Lattice parameters (Å, degrees): 9.3851 9.3851 9.3851 33.61 33.61 33.61
With the nearest neighbours (Å) after each atom.
Fractional coordinates of all 12 atoms:
Sr (0.0000, 0.0000, 0.0000)  12 Rh 3.18-3.24, 4 Sr 3.34-3.35
Sr (0.1263, 0.1263, 0.1263)  12 Rh 3.09-3.18, 3 Cd 3.31, 1 Sr 3.35
Sr (0.6233, 0.6233, 0.6233)  12 Rh 3.19-3.29, 1 Cd 3.28, 3 Sr 3.34
Cd (0.4999, 0.4999, 0.4999)  12 Rh 3.10-3.18, 4 Sr 3.28-3.31
Rh (0.0621, 0.0621, 0.5566)  6 Rh 2.66-2.76
Rh (0.0621, 0.5566, 0.0621)  6 Rh 2.66-2.76
Rh (0.0697, 0.5630, 0.5630)  6 Rh 2.68-2.75
Rh (0.3129, 0.3129, 0.3129)  6 Rh 2.75-2.76
Rh (0.5566, 0.0621, 0.0621)  6 Rh 2.66-2.76
Rh (0.5630, 0.0697, 0.5630)  6 Rh 2.68-2.75
Rh (0.5630, 0.5630, 0.0697)  6 Rh 2.68-2.75
Rh (0.8130, 0.8130, 0.8130)  6 Rh 2.66-2.68



[10]
Density functional theory data (GGA-PBE) for Tc2Ir8Rh after structural relaxation.

## Properties
N(E_F) in states/eV per atom: 1.0833
Total moment in μB/f.u.: 0.0
Formation enthalpy at 0 K in meV/atom: 141
Calculated volume in Å³/cell: 165.8
Crystal system: orthorhombic

Lattice parameters (Å, degrees): 7.2469 7.2469 7.2469 146.72 126.60 64.39
With the nearest neighbours (Å) after each atom.
Fractional coordinates of all 11 atoms:
Tc (0.2014, 0.2014, 0.0000)  10 Ir 2.58-2.81
Tc (0.7986, 0.7986, 0.0000)  10 Ir 2.58-2.81
Ir (0.0641, 0.3555, 0.7086)  3 Tc 2.58-2.68, 1 Rh 2.60, 6 Ir 2.72-2.82
Ir (0.2053, 0.0000, 0.2053)  7 Ir 2.67-2.77, 2 Tc 2.81, 2 Rh 2.83
Ir (0.3376, 0.8376, 0.5000)  2 Tc 2.66, 8 Ir 2.73-2.82, 2 Rh 2.88
Ir (0.3531, 0.6445, 0.7086)  3 Tc 2.58-2.68, 1 Rh 2.60, 6 Ir 2.72-2.82
Ir (0.6469, 0.3555, 0.2914)  3 Tc 2.58-2.68, 1 Rh 2.60, 6 Ir 2.72-2.82
Ir (0.6624, 0.1624, 0.5000)  2 Tc 2.66, 8 Ir 2.73-2.82, 2 Rh 2.88
Ir (0.7947, 0.0000, 0.7947)  7 Ir 2.67-2.77, 2 Tc 2.81, 2 Rh 2.83
Ir (0.9359, 0.6445, 0.2914)  3 Tc 2.58-2.68, 1 Rh 2.60, 6 Ir 2.72-2.82
Rh (0.5000, 0.5000, 0.0000)  12 Ir 2.60-2.88